1.
First-principles (PBE) data for crystalline HoScSiPd at its relaxed geometry, as listed in Alexandria via LeMat-Bulk.

Output
Space group   No. 216
Formation energy from raw total energies   -2.94 eV/f.u.

Unit cell a=4.818 b=4.818 c=4.818 alpha=60.00 beta=60.00 gamma=60.00
Sites, in units of the cell vectors:
Sc (0.500, 0.500, 0.500)
Si (0.750, 0.750, 0.750)
Ho (0.000, 0.000, 0.000)
Pd (0.250, 0.250, 0.250)

---

2.
First-principles (PBE) data for crystalline HoScTcPd at its relaxed geometry, as listed in Alexandria via LeMat-Bulk.

Output
Space group   No. 216
Formation energy   -43.3 kJ/mol of atoms

Unit cell a=4.736 b=4.736 c=4.736 alpha=60.00 beta=60.00 gamma=60.00
Sites, in units of the cell vectors:
Sc (0.000, 0.000, 0.000)
Ho (0.500, 0.500, 0.500)
Pd (0.750, 0.750, 0.750)
Tc (0.250, 0.250, 0.250)

---

3.
First-principles (PBE) data for crystalline HoScTlPd at its relaxed geometry, as listed in Alexandria via LeMat-Bulk.

Output
Space group   No. 216
Formation energy   -50.7 kJ/mol of atoms

Unit cell a=5.028 b=5.028 c=5.028 alpha=60.00 beta=60.00 gamma=60.00
Sites, in units of the cell vectors:
Sc (0.000, 0.000, 0.000)
Tl (0.250, 0.250, 0.250)
Ho (0.500, 0.500, 0.500)
Pd (0.750, 0.750, 0.750)

---

4.
First-principles (PBE) data for crystalline HoScTlPd at its relaxed geometry, as listed in Alexandria via LeMat-Bulk.

Output
Space group   No. 99
Formation energy   -57.8 kJ/mol of atoms

Unit cell a=3.487 b=3.487 c=7.365 alpha=90.00 beta=90.00 gamma=90.00
Sites, in units of the cell vectors:
Ho (0.000, 0.000, 0.831)
Sc (0.000, 0.000, 0.387)
Tl (0.500, 0.500, 0.128)
Pd (0.500, 0.500, 0.582)

---

5.
First-principles (PBE) data for crystalline HoScZnPd at its relaxed geometry, as listed in Alexandria via LeMat-Bulk.

Output
Space group   No. 216
Formation energy   -57.8 kJ/mol of atoms

Unit cell a=4.855 b=4.855 c=4.855 alpha=60.00 beta=60.00 gamma=60.00
Sites, in units of the cell vectors:
Sc (0.000, 0.000, 0.000)
Zn (0.750, 0.750, 0.750)
Ho (0.500, 0.500, 0.500)
Pd (0.250, 0.250, 0.250)

---

6.
First-principles (PBE) data for crystalline Ho2ScZn2Pd5 at its relaxed geometry, as listed in Alexandria via LeMat-Bulk.

Output
Space group   No. 127
Formation energy   -75.6 kJ/mol of atoms

Unit cell a=3.817 b=9.734 c=9.734 alpha=90.00 beta=90.00 gamma=90.00
Sites, in units of the cell vectors:
Ho (0.000, 0.675, 0.175)
Ho (0.000, 0.325, 0.825)
Ho (0.000, 0.175, 0.325)
Ho (0.000, 0.825, 0.675)
Sc (0.000, 0.000, 0.000)
Sc (0.000, 0.500, 0.500)
Zn (0.000, 0.121, 0.621)
Zn (0.000, 0.879, 0.379)
Zn (0.000, 0.621, 0.879)
Zn (0.000, 0.379, 0.121)
Pd (0.500, 0.206, 0.068)
Pd (0.500, 0.794, 0.932)
Pd (0.500, 0.068, 0.794)
Pd (0.500, 0.706, 0.432)
Pd (0.500, 0.932, 0.206)
Pd (0.500, 0.294, 0.568)
Pd (0.500, 0.568, 0.706)
Pd (0.500, 0.432, 0.294)
Pd (0.500, 0.500, 0.000)
Pd (0.500, 0.000, 0.500)

---

7.
First-principles (PBE) data for crystalline HoScZnPd at its relaxed geometry, as listed in Alexandria via LeMat-Bulk.

Output
Space group   No. 99
Formation energy   -61.0 kJ/mol of atoms

Unit cell a=3.437 b=3.437 c=6.795 alpha=90.00 beta=90.00 gamma=90.00
Sites, in units of the cell vectors:
Ho (0.000, 0.000, 0.861)
Sc (0.000, 0.000, 0.356)
Zn (0.500, 0.500, 0.583)
Pd (0.500, 0.500, 0.129)

---

8.
First-principles (PBE) data for crystalline HoSc2ZnPd4 at its relaxed geometry, as listed in Alexandria via LeMat-Bulk.

Output
Space group   No. 166
Formation energy   -77.5 kJ/mol of atoms

Unit cell a=4.642 b=4.642 c=8.194 alpha=73.54 beta=73.54 gamma=60.00
Sites, in units of the cell vectors:
Ho (0.000, 0.000, 0.000)
Sc (0.758, 0.758, 0.726)
Sc (0.242, 0.242, 0.274)
Zn (0.500, 0.500, 0.500)
Pd (0.383, 0.383, 0.850)
Pd (0.875, 0.875, 0.374)
Pd (0.125, 0.125, 0.626)
Pd (0.617, 0.617, 0.150)

---

9.
First-principles (PBE) data for crystalline Ho3Pd5Se12 at its relaxed geometry, as listed in Alexandria via LeMat-Bulk.

Output
Space group   No. 230
Formation energy from raw total energies   -14.29 eV/f.u.

Unit cell a=13.605 b=13.605 c=13.605 alpha=109.47 beta=109.47 gamma=109.47
Sites, in units of the cell vectors:
Pd (0.125, 0.375, 0.250)
Pd (0.000, 0.500, 0.000)
Pd (0.000, 0.000, 0.000)
Pd (0.375, 0.250, 0.125)
Pd (0.500, 0.000, 0.500)
Pd (0.500, 0.500, 0.000)
Pd (0.125, 0.750, 0.375)
Pd (0.750, 0.125, 0.875)
Pd (0.750, 0.625, 0.375)
Pd (0.375, 0.125, 0.750)
Pd (0.625, 0.875, 0.250)
Pd (0.500, 0.500, 0.500)
Pd (0.500, 0.000, 0.000)
Pd (0.000, 0.000, 0.500)
Pd (0.250, 0.375, 0.625)
Pd (0.250, 0.875, 0.125)
Pd (0.000, 0.500, 0.500)
Pd (0.875, 0.250, 0.625)
Pd (0.625, 0.750, 0.875)
Pd (0.875, 0.625, 0.750)
Ho (0.750, 0.375, 0.125)
Ho (0.875, 0.750, 0.125)
Ho (0.375, 0.750, 0.625)
Ho (0.250, 0.125, 0.375)
Ho (0.875, 0.125, 0.250)
Ho (0.375, 0.625, 0.250)
Ho (0.625, 0.375, 0.750)
Ho (0.125, 0.875, 0.750)
Ho (0.750, 0.875, 0.625)
Ho (0.625, 0.250, 0.375)
Ho (0.125, 0.250, 0.875)
Ho (0.250, 0.625, 0.875)
Se (0.709, 0.129, 0.040)
Se (0.330, 0.540, 0.411)
Se (0.960, 0.371, 0.291)
Se (0.540, 0.209, 0.129)
Se (0.580, 0.709, 0.670)
Se (0.960, 0.589, 0.170)
Se (0.330, 0.791, 0.420)
Se (0.089, 0.920, 0.129)
Se (0.589, 0.960, 0.670)
Se (0.709, 0.580, 0.170)
Se (0.791, 0.460, 0.371)
Se (0.830, 0.911, 0.040)
Se (0.129, 0.709, 0.540)
Se (0.371, 0.411, 0.080)
Se (0.080, 0.911, 0.371)
Se (0.420, 0.129, 0.589)
Se (0.080, 0.170, 0.209)
Se (0.460, 0.670, 0.089)
Se (0.830, 0.920, 0.291)
Se (0.129, 0.420, 0.089)
Se (0.371, 0.960, 0.791)
Se (0.589, 0.629, 0.420)
Se (0.911, 0.830, 0.540)
Se (0.791, 0.330, 0.920)
Se (0.411, 0.371, 0.580)
Se (0.089, 0.170, 0.460)
Se (0.209, 0.670, 0.080)
Se (0.170, 0.080, 0.709)
Se (0.629, 0.040, 0.209)
Se (0.871, 0.580, 0.911)
Se (0.540, 0.330, 0.911)
Se (0.580, 0.871, 0.411)
Se (0.920, 0.830, 0.791)
Se (0.920, 0.089, 0.629)
Se (0.871, 0.291, 0.460)
Se (0.170, 0.089, 0.960)
Se (0.629, 0.589, 0.920)
Se (0.411, 0.040, 0.330)
Se (0.291, 0.420, 0.830)
Se (0.209, 0.540, 0.629)
Se (0.911, 0.080, 0.871)
Se (0.670, 0.209, 0.580)
Se (0.460, 0.791, 0.871)
Se (0.040, 0.411, 0.830)
Se (0.420, 0.291, 0.330)
Se (0.040, 0.629, 0.709)
Se (0.670, 0.460, 0.589)
Se (0.291, 0.871, 0.960)

---

10.
First-principles (PBE) data for crystalline Ho4PdSe2 at its relaxed geometry, as listed in Alexandria via LeMat-Bulk.

Output
Space group   No. 63
Formation energy from raw total energies   -8.63 eV/f.u.

Unit cell a=3.889 b=6.778 c=14.079 alpha=90.00 beta=90.00 gamma=106.67
Sites, in units of the cell vectors:
Ho (0.211, 0.421, 0.627)
Ho (0.789, 0.579, 0.373)
Ho (0.789, 0.579, 0.127)
Ho (0.211, 0.421, 0.873)
Ho (0.948, 0.896, 0.750)
Ho (0.052, 0.104, 0.250)
Ho (0.500, 0.000, 0.000)
Ho (0.500, 0.000, 0.500)
Pd (0.393, 0.787, 0.250)
Pd (0.607, 0.213, 0.750)
Se (0.858, 0.716, 0.936)
Se (0.142, 0.284, 0.064)
Se (0.858, 0.716, 0.564)
Se (0.142, 0.284, 0.436)

---

11.
First-principles (PBE) data for crystalline Ho6PdSe4 at its relaxed geometry, as listed in Alexandria via LeMat-Bulk.

Output
Space group   No. 63
Formation energy from raw total energies   -15.76 eV/f.u.

Unit cell a=3.952 b=6.921 c=20.745 alpha=90.00 beta=90.00 gamma=106.59
Sites, in units of the cell vectors:
Ho (0.500, 0.000, 0.000)
Ho (0.500, 0.000, 0.500)
Ho (0.063, 0.127, 0.332)
Ho (0.937, 0.873, 0.668)
Ho (0.937, 0.873, 0.832)
Ho (0.063, 0.127, 0.168)
Ho (0.772, 0.545, 0.405)
Ho (0.228, 0.455, 0.595)
Ho (0.228, 0.455, 0.905)
Ho (0.772, 0.545, 0.095)
Ho (0.324, 0.648, 0.250)
Ho (0.676, 0.352, 0.750)
Pd (0.668, 0.336, 0.250)
Pd (0.332, 0.664, 0.750)
Se (0.857, 0.714, 0.537)
Se (0.419, 0.837, 0.125)
Se (0.143, 0.286, 0.463)
Se (0.581, 0.163, 0.875)
Se (0.857, 0.714, 0.963)
Se (0.143, 0.286, 0.037)
Se (0.581, 0.163, 0.625)
Se (0.419, 0.837, 0.375)

---

12.
First-principles (PBE) data for crystalline Ho5PdSe4 at its relaxed geometry, as listed in Alexandria via LeMat-Bulk.

Output
Space group   No. 12
Formation energy from raw total energies   -15.61 eV/f.u.

Unit cell a=3.994 b=7.150 c=9.140 alpha=75.55 beta=77.38 gamma=73.78
Sites, in units of the cell vectors:
Ho (0.196, 0.901, 0.706)
Ho (0.804, 0.099, 0.294)
Ho (0.407, 0.282, 0.904)
Ho (0.000, 0.500, 0.500)
Ho (0.593, 0.718, 0.096)
Pd (0.000, 0.000, 0.000)
Se (0.604, 0.201, 0.592)
Se (0.197, 0.406, 0.200)
Se (0.803, 0.594, 0.800)
Se (0.396, 0.799, 0.408)

---

13.
First-principles (PBE) data for crystalline Ho4TePdSe2 at its relaxed geometry, as listed in Alexandria via LeMat-Bulk.

Output
Space group   No. 10
Formation energy from raw total energies   -10.88 eV/f.u.

Unit cell a=4.054 b=7.294 c=7.215 alpha=71.44 beta=90.00 gamma=90.00
Sites, in units of the cell vectors:
Ho (0.000, 0.743, 0.771)
Ho (0.000, 0.257, 0.229)
Ho (0.500, 0.764, 0.231)
Ho (0.500, 0.236, 0.769)
Te (0.000, 0.500, 0.500)
Pd (0.500, 0.500, 0.000)
Se (0.000, 0.000, 0.000)
Se (0.500, 0.000, 0.500)

---

14.
First-principles (PBE) data for crystalline Ho4Te2PdSe at its relaxed geometry, as listed in Alexandria via LeMat-Bulk.

Output
Space group   No. 10
Formation energy from raw total energies   -10.27 eV/f.u.

Unit cell a=4.111 b=7.398 c=7.431 alpha=108.61 beta=90.00 gamma=90.00
Sites, in units of the cell vectors:
Ho (0.500, 0.245, 0.224)
Ho (0.500, 0.755, 0.776)
Ho (0.000, 0.275, 0.788)
Ho (0.000, 0.725, 0.212)
Te (0.500, 0.000, 0.500)
Te (0.000, 0.500, 0.500)
Pd (0.500, 0.500, 0.000)
Se (0.000, 0.000, 0.000)

---

15.
First-principles (PBE) data for crystalline Ho12SiPd6 at its relaxed geometry, as listed in Alexandria via LeMat-Bulk.

Output
Space group   No. 148
Formation energy from raw total energies   -9.72 eV/f.u.

Unit cell a=8.273 b=8.273 c=8.273 alpha=100.65 beta=100.65 gamma=100.65
Sites, in units of the cell vectors:
Ho (0.824, 0.587, 0.427)
Ho (0.427, 0.824, 0.587)
Ho (0.587, 0.427, 0.824)
Ho (0.176, 0.413, 0.573)
Ho (0.573, 0.176, 0.413)
Ho (0.413, 0.573, 0.176)
Ho (0.082, 0.944, 0.324)
Ho (0.056, 0.676, 0.918)
Ho (0.676, 0.918, 0.056)
Ho (0.918, 0.056, 0.676)
Ho (0.944, 0.324, 0.082)
Ho (0.324, 0.082, 0.944)
Si (0.000, 0.000, 0.000)
Pd (0.680, 0.862, 0.382)
Pd (0.618, 0.320, 0.138)
Pd (0.138, 0.618, 0.320)
Pd (0.320, 0.138, 0.618)
Pd (0.382, 0.680, 0.862)
Pd (0.862, 0.382, 0.680)

---

16.
First-principles (PBE) data for crystalline Ho2SiPd at its relaxed geometry, as listed in Alexandria via LeMat-Bulk.

Output
Space group   No. 11
Formation energy from raw total energies   -3.37 eV/f.u.

Unit cell a=4.247 b=5.784 c=7.771 alpha=110.44 beta=90.00 gamma=90.00
Sites, in units of the cell vectors:
Ho (0.750, 0.218, 0.418)
Ho (0.250, 0.782, 0.582)
Ho (0.250, 0.780, 0.063)
Ho (0.750, 0.220, 0.937)
Si (0.750, 0.666, 0.292)
Si (0.250, 0.334, 0.708)
Pd (0.250, 0.362, 0.215)
Pd (0.750, 0.638, 0.785)

---

17.
First-principles (PBE) data for crystalline HoSiPd3 at its relaxed geometry, as listed in Alexandria via LeMat-Bulk.

Output
Space group   No. 119
Formation energy from raw total energies   -2.63 eV/f.u.

Unit cell a=5.192 b=5.192 c=8.564 alpha=107.65 beta=107.65 gamma=90.00
Sites, in units of the cell vectors:
Ho (0.598, 0.098, 0.197)
Ho (0.902, 0.402, 0.803)
Si (0.000, 0.000, 0.000)
Si (0.250, 0.750, 0.500)
Pd (0.624, 0.878, 0.755)
Pd (0.122, 0.869, 0.245)
Pd (0.122, 0.376, 0.245)
Pd (0.131, 0.878, 0.755)
Pd (0.291, 0.291, 0.582)
Pd (0.709, 0.709, 0.418)

---

18.
First-principles (PBE) data for crystalline Ho3Si3Pd at its relaxed geometry, as listed in Alexandria via LeMat-Bulk.

Output
Space group   No. 12
Formation energy from raw total energies   -6.36 eV/f.u.

Unit cell a=4.240 b=5.652 c=12.936 alpha=84.21 beta=80.57 gamma=67.97
Sites, in units of the cell vectors:
Ho (0.526, 0.324, 0.624)
Ho (0.474, 0.676, 0.376)
Ho (0.258, 0.259, 0.226)
Ho (0.742, 0.741, 0.774)
Ho (0.396, 0.285, 0.923)
Ho (0.604, 0.715, 0.077)
Si (0.877, 0.700, 0.545)
Si (0.123, 0.300, 0.455)
Si (0.112, 0.850, 0.925)
Si (0.888, 0.150, 0.075)
Si (0.963, 0.843, 0.230)
Si (0.037, 0.157, 0.770)
Pd (0.756, 0.086, 0.403)
Pd (0.244, 0.914, 0.597)

---

19.
First-principles (PBE) data for crystalline Ho2Si3Pd5 at its relaxed geometry, as listed in Alexandria via LeMat-Bulk.

Output
Space group   No. 36
Formation energy from raw total energies   -8.58 eV/f.u.

Unit cell a=4.214 b=6.695 c=12.203 alpha=90.00 beta=99.94 gamma=90.00
Sites, in units of the cell vectors:
Ho (0.476, 0.723, 0.953)
Ho (0.174, 0.755, 0.348)
Ho (0.826, 0.255, 0.652)
Ho (0.524, 0.223, 0.047)
Si (0.773, 0.801, 0.545)
Si (0.619, 0.466, 0.239)
Si (0.050, 0.932, 0.100)
Si (0.227, 0.301, 0.455)
Si (0.950, 0.432, 0.900)
Si (0.381, 0.966, 0.761)
Pd (0.406, 0.332, 0.812)
Pd (0.300, 0.580, 0.599)
Pd (0.700, 0.080, 0.401)
Pd (0.126, 0.224, 0.251)
Pd (0.278, 0.996, 0.557)
Pd (0.946, 0.058, 0.891)
Pd (0.722, 0.496, 0.443)
Pd (0.874, 0.724, 0.749)
Pd (0.054, 0.558, 0.109)
Pd (0.594, 0.832, 0.188)

---

| no. | raw total energy (eV per atom) |
| --- | --- |
| 1 | -6.116 |
| 2 | -7.066 |
| 3 | -5.143 |
| 4 | -5.216 |
| 5 | -4.943 |
| 6 | -5.183 |
| 7 | -4.976 |
| 8 | -5.714 |
| 9 | -4.790 |
| 10 | -5.586 |
| 11 | -5.669 |
| 12 | -5.763 |
| 13 | -5.562 |
| 14 | -5.442 |
| 15 | -5.328 |
| 16 | -5.786 |
| 17 | -5.642 |
| 18 | -5.937 |
| 19 | -5.997 |